Record 1
Compound: NpSc2Ir9
Source: Alexandria via LeMat-Bulk
Functional: PBE
Structure: relaxed

## Properties
space group = R-3m (166)
formation enthalpy at 0 K = -0.453 eV/atom
crystal system = trigonal
total energy = -110.79 eV/f.u.

Cell: 9.170 9.170 9.170 Å, 33.19 33.19 33.19°
Atoms (fractional coordinates):
1 Np 0.000 0.000 0.000
2 Sc 0.140 0.140 0.140
3 Sc 0.860 0.860 0.860
4 Ir 0.082 0.586 0.586
5 Ir 0.334 0.334 0.334
6 Ir 0.414 0.414 0.918
7 Ir 0.414 0.918 0.414
8 Ir 0.500 0.500 0.500
9 Ir 0.586 0.082 0.586
10 Ir 0.586 0.586 0.082
11 Ir 0.666 0.666 0.666
12 Ir 0.918 0.414 0.414

=====

Record 2
Compound: NpScIr
Source: Alexandria via LeMat-Bulk
Functional: PBE
Structure: relaxed

## Properties
space group = Immm (71)
formation enthalpy at 0 K = -0.146 eV/atom
crystal system = orthorhombic
total energy = -28.57 eV/f.u.

Cell: 5.159 5.242 8.393 Å, 90.00 90.00 90.00°
Atoms (fractional coordinates):
1 Np 0.000 0.219 0.000
2 Np 0.000 0.781 0.000
3 Np 0.500 0.281 0.500
4 Np 0.500 0.719 0.500
5 Sc 0.000 0.000 0.325
6 Sc 0.000 0.000 0.675
7 Sc 0.500 0.500 0.175
8 Sc 0.500 0.500 0.825
9 Ir 0.000 0.500 0.326
10 Ir 0.000 0.500 0.674
11 Ir 0.500 0.000 0.174
12 Ir 0.500 0.000 0.826

=====

Record 3
Compound: NpScTcIr
Source: Alexandria via LeMat-Bulk
Functional: PBE
Structure: relaxed

## Properties
space group = F-43m (216)
formation enthalpy at 0 K = -0.363 eV/atom
crystal system = cubic
total energy = -39.95 eV/f.u.

Cell: 6.621 6.621 6.621 Å, 90.00 90.00 90.00°
Atoms (fractional coordinates):
1 Np 0.000 0.000 0.000
2 Np 0.000 0.500 0.500
3 Np 0.500 0.000 0.500
4 Np 0.500 0.500 0.000
5 Sc 0.000 0.000 0.500
6 Sc 0.000 0.500 0.000
7 Sc 0.500 0.000 0.000
8 Sc 0.500 0.500 0.500
9 Tc 0.250 0.250 0.250
10 Tc 0.250 0.750 0.750
11 Tc 0.750 0.250 0.750
12 Tc 0.750 0.750 0.250
13 Ir 0.250 0.250 0.750
14 Ir 0.250 0.750 0.250
15 Ir 0.750 0.250 0.250
16 Ir 0.750 0.750 0.750

=====

> formation enthalpy at 0 K of number 2 (NpScIr)?

-0.146 eV/atom